Record 1
Ac7La2Nd2 | PBE | optimized geometry

Geometry as extended XYZ:
```
11
Lattice="6.883 1.384 1.997 0.528 8.418 0.766 0.528 -2.239 8.151" Properties=species:S:1:pos:R:3 pbc="T T T"
Ac 1.717 -0.397 5.114
Ac 6.223 2.636 9.490
Ac 6.223 7.960 5.801
Ac 1.717 4.927 1.424
Ac 0.000 0.000 0.000
Ac 4.277 4.825 6.963
Ac 3.663 2.738 3.951
La 3.970 -0.154 8.185
La 3.970 7.718 2.730
Nd 7.129 3.444 4.970
Nd 0.811 4.119 5.944
```

E	-4.16	eV/atom
mass density	7.66	Mg/m³

Record 2
Ac6La2Nd5 | PBE | optimized geometry

Geometry as extended XYZ:
```
26
Lattice="-1.223 3.010 -1.976 -8.076 2.009 8.058 15.343 14.033 11.879" Properties=species:S:1:pos:R:3 pbc="T T T"
Ac 4.742 5.680 5.717
Ac 2.525 10.362 14.220
Ac -3.417 2.915 6.555
Ac 10.684 13.127 13.382
Ac -1.291 4.025 3.270
Ac 7.336 15.027 14.690
Ac -1.698 8.350 10.110
Ac 7.743 10.702 7.850
Ac 1.760 6.526 8.851
Ac 5.508 9.516 11.086
Ac 1.498 1.589 1.493
Ac 5.769 14.453 18.444
La 1.420 4.476 5.939
La 5.847 11.566 13.998
La -3.249 4.904 9.479
La 10.516 11.138 10.458
Nd 4.307 9.109 7.550
Nd 1.737 9.943 10.411
Nd -7.235 3.250 5.769
Nd 13.280 15.802 12.192
Nd -1.489 6.238 6.763
Nd 7.533 12.814 11.197
Nd 2.460 5.152 2.665
Nd 3.584 13.900 15.295
Nd -4.649 2.510 3.041
Nd 7.060 8.521 4.951
```

E	-4.35	eV/atom
mass density	7.43	Mg/m³

Record 3
Ac3LaNd6 | PBE | optimized geometry

Geometry as extended XYZ:
```
10
Lattice="-7.213 -2.995 -6.668 1.432 -8.446 -5.662 -3.789 -6.197 -1.026" Properties=species:S:1:pos:R:3 pbc="T T T"
Ac -5.624 -9.893 -5.288
Ac -4.170 -8.032 -7.697
Ac -3.290 -5.558 -1.853
La -6.620 -12.515 -10.940
Nd -6.663 -9.180 -9.750
Nd -1.388 -9.966 -7.174
Nd -4.770 -5.350 -5.649
Nd -2.682 -8.236 -3.907
Nd -8.006 -7.397 -6.472
Nd -4.637 -12.066 -8.047
```

E	-4.24	eV/atom
mass density	7.09	Mg/m³

Record 4
Ac2La5Nd2 | PBE | optimized geometry

Geometry as extended XYZ:
```
9
Lattice="3.645 0.000 -0.752 0.171 10.293 0.829 0.040 1.475 9.404" Properties=species:S:1:pos:R:3 pbc="T T T"
Ac 1.924 8.465 9.328
Ac 1.931 3.303 0.153
La 2.559 8.638 3.196
La 1.296 3.130 6.284
La 3.169 6.430 6.155
La 0.686 5.338 3.325
La 0.000 0.000 0.000
Nd 3.201 10.282 6.306
Nd 0.655 1.486 3.174
```

E	-4.63	eV/atom
mass density	6.85	Mg/m³

Record 5
Ac4La5Nd | PBE | optimized geometry

Geometry as extended XYZ:
```
10
Lattice="3.709 0.000 -0.803 -1.706 9.006 -7.879 1.284 -3.078 14.901" Properties=species:S:1:pos:R:3 pbc="T T T"
Ac 2.750 -0.323 3.736
Ac -0.335 2.612 -1.547
Ac 0.538 6.251 2.484
Ac 3.623 3.316 7.767
La 0.421 2.413 1.944
La -0.284 6.139 -1.311
La 3.572 -0.212 7.531
La 1.002 4.503 -4.341
La 2.867 3.514 4.275
Nd 1.854 0.000 -0.401
```

E	-4.43	eV/atom
mass density	7.03	Mg/m³

Record 6
AcLa8Nd2 | PBE | optimized geometry

Geometry as extended XYZ:
```
11
Lattice="5.465 0.000 -1.659 -1.067 7.905 -3.515 -0.009 -0.450 9.797" Properties=species:S:1:pos:R:3 pbc="T T T"
Ac 2.732 0.000 -0.830
La 2.615 6.555 -1.215
La 1.344 4.083 4.425
La 0.680 1.089 2.241
La 5.140 1.884 7.100
La 3.707 6.366 2.382
La 3.044 3.373 0.198
La 1.772 0.901 5.837
La -0.752 5.572 -2.477
Nd 0.350 5.365 1.152
Nd 4.038 2.091 3.471
```

E	-4.73	eV/atom
mass density	6.53	Mg/m³

Record 7
Ac2La3Nd | PBE | optimized geometry

Geometry as extended XYZ:
```
12
Lattice="-2.997 4.440 -0.756 -6.816 -5.947 -7.910 -0.863 -2.499 8.100" Properties=species:S:1:pos:R:3 pbc="T T T"
Ac -7.594 -2.967 -6.682
Ac -3.082 -1.039 6.116
Ac -6.908 -5.285 -3.656
Ac -3.768 1.278 3.090
La -2.817 -2.296 -2.315
La -7.858 -1.710 1.749
La -5.083 -0.161 -0.151
La -5.593 -3.845 -0.415
La -6.312 -1.537 -3.362
La -4.364 -2.469 2.796
Nd -1.470 -0.835 0.922
Nd -9.206 -3.171 -1.488
```

E	-4.61	eV/atom
mass density	7.17	Mg/m³

Record 8
Ac2LaNd4 | PBE | optimized geometry

Geometry as extended XYZ:
```
14
Lattice="7.148 -0.398 -2.327 -4.380 8.651 -2.590 0.766 0.407 8.446" Properties=species:S:1:pos:R:3 pbc="T T T"
Ac -0.504 7.204 2.019
Ac 1.937 4.659 3.581
Ac 5.113 0.890 1.789
Ac 0.332 5.742 -1.448
Nd 4.320 2.279 5.245
Nd -1.676 4.944 4.780
Nd 3.105 7.019 0.824
Nd -0.857 3.463 1.299
Nd -2.052 8.232 -3.037
Nd 3.903 5.576 -2.605
Nd 0.759 2.399 6.392
Nd 1.530 0.986 2.925
La 2.725 3.280 0.127
La 1.549 8.065 -4.237
```

E	-4.57	eV/atom
mass density	7.26	Mg/m³